# InCuMo4

A relaxed structure of InCuMo4 (PBE-GGA, the Alexandria database).

## Properties
For the formation energy, the calculation gives 553.3 meV/atom. As for the space-group type: No. 216. As for the crystal system: cubic.

Unit cell a=5.277 b=5.277 c=5.277 alpha=60.00 beta=60.00 gamma=60.00
Element x y z (fractional)
In: 0.000 0.000 0.000
Cu: 0.250 0.250 0.250
Mo: 0.129 0.624 0.624
Mo: 0.624 0.129 0.624
Mo: 0.624 0.624 0.129
Mo: 0.624 0.624 0.624

---

# In2CuMo

A relaxed structure of In2CuMo (PBE-GGA, the Alexandria database).

## Properties
For the formation energy, the calculation gives 472.6 meV/atom. As for the space-group type: No. 225. As for the crystal system: cubic.

Unit cell a=6.624 b=6.624 c=6.624 alpha=90.00 beta=90.00 gamma=90.00
Element x y z (fractional)
In: 0.250 0.250 0.250
In: 0.250 0.250 0.750
In: 0.250 0.750 0.250
In: 0.250 0.750 0.750
In: 0.750 0.250 0.250
In: 0.750 0.250 0.750
In: 0.750 0.750 0.250
In: 0.750 0.750 0.750
Cu: 0.000 0.000 0.000
Cu: 0.000 0.500 0.500
Cu: 0.500 0.000 0.500
Cu: 0.500 0.500 0.000
Mo: 0.000 0.000 0.500
Mo: 0.000 0.500 0.000
Mo: 0.500 0.000 0.000
Mo: 0.500 0.500 0.500

---

# In2CuMo

A relaxed structure of In2CuMo (PBE-GGA, the Alexandria database).

## Properties
For the formation energy, the calculation gives 363.8 meV/atom. As for the space-group type: No. 166. As for the crystal system: trigonal.

Unit cell a=3.045 b=3.045 c=27.381 alpha=90.00 beta=90.00 gamma=120.00
Element x y z (fractional)
In: 0.000 0.000 0.247
In: 0.000 0.000 0.753
In: 0.333 0.667 0.420
In: 0.333 0.667 0.913
In: 0.667 0.333 0.087
In: 0.667 0.333 0.580
Cu: 0.000 0.000 0.500
Cu: 0.333 0.667 0.167
Cu: 0.667 0.333 0.833
Mo: 0.000 0.000 0.000
Mo: 0.333 0.667 0.667
Mo: 0.667 0.333 0.333

---

# InCuMo3

A relaxed structure of InCuMo3 (PBE-GGA, the Alexandria database).

## Properties
For the formation energy, the calculation gives 1378.5 meV/atom. As for the space-group type: No. 221. As for the crystal system: cubic.

Unit cell a=4.556 b=4.556 c=4.556 alpha=90.00 beta=90.00 gamma=90.00
Element x y z (fractional)
In: 0.000 0.000 0.000
Cu: 0.500 0.500 0.500
Mo: 0.000 0.500 0.500
Mo: 0.500 0.000 0.500
Mo: 0.500 0.500 0.000

---

# InCu2Mo

A relaxed structure of InCu2Mo (PBE-GGA, the Alexandria database).

## Properties
For the formation energy, the calculation gives 337.7 meV/atom. As for the space-group type: No. 12. As for the crystal system: monoclinic.

Unit cell a=5.546 b=8.984 c=2.690 alpha=90.00 beta=111.45 gamma=90.00
Element x y z (fractional)
In: 0.000 0.000 0.000
In: 0.500 0.500 0.000
Cu: 0.250 0.250 0.500
Cu: 0.250 0.750 0.500
Cu: 0.750 0.250 0.500
Cu: 0.750 0.750 0.500
Mo: 0.000 0.500 0.000
Mo: 0.500 0.000 0.000

---

# InCu2Mo

A relaxed structure of InCu2Mo (PBE-GGA, the Alexandria database).

## Properties
For the formation energy, the calculation gives 327.5 meV/atom. As for the space-group type: No. 44. As for the crystal system: orthorhombic.

Unit cell a=2.847 b=4.631 c=9.280 alpha=90.00 beta=90.00 gamma=90.00
Element x y z (fractional)
In: 0.000 0.000 0.000
In: 0.500 0.500 0.500
Cu: 0.000 0.000 0.531
Cu: 0.000 0.500 0.252
Cu: 0.500 0.000 0.752
Cu: 0.500 0.500 0.031
Mo: 0.000 0.500 0.775
Mo: 0.500 0.000 0.275

---

# InCu2Mo

A relaxed structure of InCu2Mo (PBE-GGA, the Alexandria database).

## Properties
For the formation energy, the calculation gives 299.6 meV/atom. As for the space-group type: No. 47. As for the crystal system: orthorhombic.

Unit cell a=2.786 b=3.862 c=5.766 alpha=90.00 beta=90.00 gamma=90.00
Element x y z (fractional)
In: 0.000 0.000 0.000
Cu: 0.500 0.500 0.275
Cu: 0.500 0.500 0.725
Mo: 0.000 0.000 0.500

---

# InCuMo

A relaxed structure of InCuMo (PBE-GGA, the Alexandria database).

## Properties
For the formation energy, the calculation gives 428.8 meV/atom. As for the space-group type: No. 187. As for the crystal system: hexagonal.

Unit cell a=4.464 b=4.464 c=2.876 alpha=90.00 beta=90.00 gamma=120.00
Element x y z (fractional)
In: 0.000 0.000 0.000
Cu: 0.333 0.667 0.000
Mo: 0.667 0.333 0.500

---

# InCu2Mo

A relaxed structure of InCu2Mo (PBE-GGA, the Alexandria database).

## Properties
For the formation energy, the calculation gives 215.0 meV/atom. As for the space-group type: No. 99. As for the crystal system: tetragonal.

Unit cell a=2.905 b=2.905 c=7.210 alpha=90.00 beta=90.00 gamma=90.00
Element x y z (fractional)
In: 0.000 0.000 0.000
Cu: 0.000 0.000 0.536
Cu: 0.500 0.500 0.734
Mo: 0.500 0.500 0.303

---

# InCuMo2

A relaxed structure of InCuMo2 (PBE-GGA, the Alexandria database).

## Properties
For the formation energy, the calculation gives 331.5 meV/atom. As for the space-group type: No. 10. As for the crystal system: monoclinic.

Unit cell a=2.754 b=4.427 c=5.398 alpha=90.00 beta=98.32 gamma=90.00
Element x y z (fractional)
In: 0.000 0.000 0.000
Cu: 0.000 0.000 0.500
Mo: 0.472 0.500 0.729
Mo: 0.528 0.500 0.271

---

# InCuMo2

A relaxed structure of InCuMo2 (PBE-GGA, the Alexandria database).

## Properties
For the formation energy, the calculation gives 373.0 meV/atom. As for the space-group type: No. 25. As for the crystal system: orthorhombic.

Unit cell a=2.725 b=4.199 c=5.781 alpha=90.00 beta=90.00 gamma=90.00
Element x y z (fractional)
In: 0.000 0.000 0.000
Cu: 0.500 0.500 0.755
Mo: 0.000 0.000 0.507
Mo: 0.500 0.500 0.287

---

# InCuMo2

A relaxed structure of InCuMo2 (PBE-GGA, the Alexandria database).

## Properties
For the formation energy, the calculation gives 528.1 meV/atom. As for the space-group type: No. 166. As for the crystal system: trigonal.

Unit cell a=2.877 b=2.877 c=27.643 alpha=90.00 beta=90.00 gamma=120.00
Element x y z (fractional)
In: 0.000 0.000 0.000
In: 0.333 0.667 0.667
In: 0.667 0.333 0.333
Cu: 0.000 0.000 0.500
Cu: 0.333 0.667 0.167
Cu: 0.667 0.333 0.833
Mo: 0.000 0.000 0.244
Mo: 0.000 0.000 0.756
Mo: 0.333 0.667 0.422
Mo: 0.333 0.667 0.911
Mo: 0.667 0.333 0.089
Mo: 0.667 0.333 0.578